[1]
Compound: Rb4Ca
Source: Alexandria
Functional: PBE
Structure: relaxed

a = 8.0322 Å, b = 8.0322 Å, c = 8.0322 Å
α = 90.00°, β = 90.00°, γ = 90.00°
Space group Pm-3m (No. 221)
Symmetry-distinct sites (fractional):
Rb  0.0000  0.0000  0.0000
Rb  0.0000  0.5000  0.5000
Ca  0.5000  0.5000  0.5000

Properties
Formation energy = 310 meV/atom
Crystal system = cubic


[2]
Compound: U2PaSi6
Source: Alexandria
Functional: PBE
Structure: relaxed

a = 6.9899 Å, b = 6.9899 Å, c = 3.8694 Å
α = 90.00°, β = 90.00°, γ = 120.00°
Space group P6/mmm (No. 191)
Symmetry-distinct sites (fractional):
U  0.3333  0.6667  0.0000
Pa  0.0000  0.0000  0.0000
Si  0.0000  0.3341  0.5000

Properties
Crystal system = hexagonal
Energy relative to the elements, uncorrected = -0.392 eV per atom


[3]
Compound: MnCr2CoGe
Source: Alexandria
Functional: PBE
Structure: relaxed

a = 4.2746 Å, b = 4.2746 Å, c = 4.2699 Å
α = 90.00°, β = 90.00°, γ = 90.00°
Space group P4/mmm (No. 123)
Symmetry-distinct sites (fractional):
Mn  0.0000  0.0000  0.0000
Cr  0.0000  0.5000  0.0000
Co  0.0000  0.0000  0.5000
Ge  0.5000  0.5000  0.5000

Properties
Formation energy = 996 meV/atom
Crystal system = tetragonal


[4]
Compound: NdBr2Cl
Source: Alexandria
Functional: PBE
Structure: relaxed

a = 4.0809 Å, b = 9.1955 Å, c = 7.3561 Å
α = 90.00°, β = 106.04°, γ = 90.00°
Space group P2_1/m (No. 11)
Symmetry-distinct sites (fractional):
Nd  0.2419  0.2500  0.4840
Br  0.1524  0.5649  0.3039
Cl  0.3887  0.7500  0.7782

Properties
Crystal system = monoclinic
Energy relative to the elements, uncorrected = -2.018 eV per atom


[5]
Compound: NaTaTc2I
Source: Alexandria
Functional: PBE
Structure: relaxed

a = 4.7700 Å, b = 4.7700 Å, c = 6.4263 Å
α = 90.00°, β = 90.00°, γ = 90.00°
Space group P4/mmm (No. 123)
Symmetry-distinct sites (fractional):
Na  0.0000  0.0000  0.0000
Ta  0.0000  0.0000  0.5000
Tc  0.0000  0.5000  0.5000
I  0.5000  0.5000  0.0000

Properties
Crystal system = tetragonal
Energy relative to the elements, uncorrected = 1.377 eV per atom


[6]
Compound: AcCeZnCu
Source: Alexandria
Functional: PBE
Structure: relaxed

a = 7.4651 Å, b = 7.4651 Å, c = 7.4651 Å
α = 90.00°, β = 90.00°, γ = 90.00°
Space group F-43m (No. 216)
Symmetry-distinct sites (fractional):
Ac  0.0000  0.0000  0.0000
Ce  0.0000  0.0000  0.5000
Zn  0.2500  0.2500  0.7500
Cu  0.2500  0.2500  0.2500

Properties
Formation energy = -72 meV/atom
Crystal system = cubic


| no. | DFT total energy (eV/atom) |
| --- | --- |
| 1 | -0.865 |
| 2 | -7.571 |
| 3 | -7.032 |
| 4 | -4.508 |
| 5 | -5.713 |
| 6 | -3.925 |